SrCu3Te | Alexandria | PBE | relaxed; uncorrected energy = -3.123 eV/atom; uncorrected formation energy = 0.299 eV per atom; crystal system = cubic; energy above the lowest structure with this stoichiometry = 0 meV/atom
1.0
5.0269 0.0000 0.0000
0.0000 5.0269 0.0000
0.0000 0.0000 5.0269
Sr Cu Te
1 3 1
Cartesian
0.0000 0.0000 0.0000
0.0000 2.5134 2.5134
2.5134 0.0000 2.5134
2.5134 2.5134 0.0000
2.5134 2.5134 2.5134

***

ScTa2Te | Alexandria | PBE | relaxed; uncorrected energy = -8.234 eV/atom; uncorrected formation energy = 0.061 eV per atom; crystal system = trigonal; energy above the lowest structure with this stoichiometry = 182 meV/atom
1.0
1.6744 0.9667 8.8943
-1.6744 0.9667 8.8943
0.0000 -1.9334 8.8943
Sc Ta Te
1 2 1
Cartesian
0.0000 0.0000 0.0000
0.0000 0.0000 13.2397
0.0000 0.0000 20.0992
0.0000 0.0000 6.4279

***

MgInSb4 | Alexandria | PBE | relaxed; uncorrected energy = -3.303 eV/atom; uncorrected formation energy = 0.168 eV per atom; crystal system = cubic
1.0
0.0000 4.4668 4.4668
4.4668 0.0000 4.4668
4.4668 4.4668 0.0000
Mg In Sb
1 1 4
Cartesian
0.0000 0.0000 0.0000
2.2334 2.2334 2.2334
5.5838 3.3498 3.3498
3.3498 5.5838 3.3498
3.3498 3.3498 5.5838
5.5838 5.5838 5.5838

***

La3TeS3 | Alexandria | PBE | relaxed; uncorrected energy = -6.283 eV/atom; uncorrected formation energy = -1.953 eV per atom; crystal system = trigonal
1.0
4.1744 2.4101 7.4279
-4.1744 2.4101 7.4279
0.0000 -4.8201 7.4279
La Te S
6 2 6
Cartesian
-1.5347 -2.0654 9.5576
-2.5560 0.2964 12.7260
-1.0213 2.3618 9.5576
1.0213 -2.3618 12.7260
2.5560 -0.2964 9.5576
1.5347 2.0654 12.7260
0.0000 0.0000 7.3749
0.0000 0.0000 14.9087
-3.0002 0.3903 9.9060
-1.8381 -2.4031 12.3776
1.1621 -2.7934 9.9060
-1.1621 2.7934 12.3776
1.8381 2.4031 9.9060
3.0002 -0.3903 12.3776

***

Fe3TeS | Alexandria | PBE | relaxed; uncorrected energy = -6.231 eV/atom; uncorrected formation energy = 0.301 eV per atom; crystal system = cubic; energy above the lowest structure with this stoichiometry = 0 meV/atom
1.0
4.3155 0.0000 0.0000
0.0000 4.3155 0.0000
0.0000 0.0000 4.3155
Fe Te S
3 1 1
Cartesian
0.0000 0.0000 2.1578
0.0000 2.1578 0.0000
2.1578 0.0000 0.0000
2.1578 2.1578 2.1578
0.0000 0.0000 0.0000